Entry 1:
# K6InAu2 PBE optimized geometry
# D(E_F) (states/eV/cell): 12.030
# Total DFT energy (no corrections) (eV/atom): -1.940
data_K6InAu2
_cell_length_a 10.842
_cell_length_b 11.288
_cell_length_c 12.561
_cell_angle_alpha 90.00
_cell_angle_beta 90.00
_cell_angle_gamma 90.00
_space_group_name_H-M_alt 'I m m m'
_space_group_IT_number 71
_space_group_name_Hall '-I 2 2'
loop_
_atom_site_label
_atom_site_type_symbol
_atom_site_fract_x
_atom_site_fract_y
_atom_site_fract_z
_atom_site_occupancy
K1 K 0.000 0.174 0.153 1
K2 K 0.180 0.207 0.500 1
K3 K 0.190 0.500 0.244 1
In1 In 0.000 0.500 0.000 1
In2 In 0.000 0.500 0.500 1
Au1 Au 0.000 0.000 0.381 1
Au2 Au 0.233 0.000 0.000 1

Entry 2:
# KInAu3 PBE optimized geometry
# D(E_F) (states/eV/cell): 3.945
# Energy relative to the lowest polymorph listed for this composition (meV/atom): 0.3
data_KInAu3
_cell_length_a 4.972
_cell_length_b 4.972
_cell_length_c 10.526
_cell_angle_alpha 90.00
_cell_angle_beta 90.00
_cell_angle_gamma 90.00
_space_group_name_H-M_alt 'I 4 m m'
_space_group_IT_number 107
_space_group_name_Hall 'I 4 -2'
loop_
_atom_site_label
_atom_site_type_symbol
_atom_site_fract_x
_atom_site_fract_y
_atom_site_fract_z
_atom_site_occupancy
K1 K 0.000 0.000 0.000 1
In1 In 0.000 0.000 0.633 1
Au1 Au 0.000 0.000 0.378 1
Au2 Au 0.000 0.500 0.251 1

Entry 3:
# K4InAu PBE optimized geometry
# D(E_F) (states/eV/cell): 20.036
# Energy relative to the lowest polymorph listed for this composition (meV/atom): 453.4
data_K4InAu
_cell_length_a 10.099
_cell_length_b 10.099
_cell_length_c 10.099
_cell_angle_alpha 90.00
_cell_angle_beta 90.00
_cell_angle_gamma 90.00
_space_group_name_H-M_alt 'F -4 3 m'
_space_group_IT_number 216
_space_group_name_Hall 'F -4 2 3'
loop_
_atom_site_label
_atom_site_type_symbol
_atom_site_fract_x
_atom_site_fract_y
_atom_site_fract_z
_atom_site_occupancy
K1 K 0.124 0.124 0.124 1
In1 In 0.000 0.000 0.500 1
Au1 Au 0.250 0.250 0.750 1

Entry 4:
# KIn2Au2 PBE optimized geometry
# D(E_F) (states/eV/cell): 3.513
# Energy relative to the lowest polymorph listed for this composition (meV/atom): 36.0
data_KIn2Au2
_cell_length_a 5.176
_cell_length_b 5.176
_cell_length_c 10.398
_cell_angle_alpha 90.00
_cell_angle_beta 90.00
_cell_angle_gamma 90.00
_space_group_name_H-M_alt 'I 4/m m m'
_space_group_IT_number 139
_space_group_name_Hall '-I 4 2'
loop_
_atom_site_label
_atom_site_type_symbol
_atom_site_fract_x
_atom_site_fract_y
_atom_site_fract_z
_atom_site_occupancy
K1 K 0.000 0.000 0.000 1
In1 In 0.000 0.000 0.355 1
Au1 Au 0.000 0.500 0.250 1

Entry 5:
# KIn2Au PBE optimized geometry
# D(E_F) (states/eV/cell): 3.632
# Total DFT energy (no corrections) (eV/atom): -2.522
data_KIn2Au
_cell_length_a 4.739
_cell_length_b 5.472
_cell_length_c 8.663
_cell_angle_alpha 90.00
_cell_angle_beta 90.00
_cell_angle_gamma 90.00
_space_group_name_H-M_alt 'I m m 2'
_space_group_IT_number 44
loop_
_space_group_symop_operation_xyz
'x,y,z'
'-x,-y,z'
'-x,y,z'
'x,-y,z'
'x+1/2,y+1/2,z+1/2'
'-x+1/2,-y+1/2,z+1/2'
'-x+1/2,y+1/2,z+1/2'
'x+1/2,-y+1/2,z+1/2'
loop_
_atom_site_label
_atom_site_type_symbol
_atom_site_fract_x
_atom_site_fract_y
_atom_site_fract_z
_atom_site_occupancy
K1 K 0.000 0.000 0.000 1
In1 In 0.000 0.000 0.461 1
In2 In 0.000 0.500 0.221 1
Au1 Au 0.000 0.500 0.778 1

Entry 6:
# KIn2Au PBE optimized geometry
# D(E_F) (states/eV/cell): 2.876
# Total DFT energy (no corrections) (eV/atom): -2.701
data_KIn2Au
_cell_length_a 4.647
_cell_length_b 6.395
_cell_length_c 7.945
_cell_angle_alpha 90.00
_cell_angle_beta 90.00
_cell_angle_gamma 90.00
_space_group_name_H-M_alt 'P m m n'
_space_group_IT_number 59
loop_
_space_group_symop_operation_xyz
'x,y,z'
'-x,-y,-z'
'-x+1/2,-y+1/2,z'
'x+1/2,y+1/2,-z'
'x+1/2,-y,-z'
'-x+1/2,y,z'
'-x,y+1/2,-z'
'x,-y+1/2,z'
loop_
_atom_site_label
_atom_site_type_symbol
_atom_site_fract_x
_atom_site_fract_y
_atom_site_fract_z
_atom_site_occupancy
K1 K 0.250 0.250 0.062 1
In1 In 0.250 0.508 0.645 1
Au1 Au 0.250 0.750 0.324 1